Entry 1:
The following is a DFT calculation (PBE) of a geometry-optimized Tb5Ni2Te structure.

Properties
calculated total energy: -42.3 eV/f.u.
space group: I4/mcm, No. 140
total magnetization: 0.00 μB/cell
calculated volume: 198.1 Å³/f.u.
energy relative to the elements, uncorrected: -54 kJ/mol of atoms

Unit cell a=7.707 b=7.707 c=8.613 alpha=116.58 beta=116.58 gamma=90.00
Atoms (fractional coordinates):
Ni1 0.133 0.367 0.000
Ni2 0.867 0.633 0.000
Ni3 0.367 0.867 0.000
Ni4 0.633 0.133 0.000
Tb1 0.481 0.291 0.272
Tb2 0.291 0.791 0.272
Tb3 0.981 0.481 0.272
Tb4 0.000 0.000 0.000
Tb5 0.209 0.019 0.728
Tb6 0.019 0.519 0.728
Tb7 0.519 0.709 0.728
Tb8 0.500 0.500 0.000
Tb9 0.791 0.981 0.272
Tb10 0.709 0.209 0.728
Te1 0.750 0.750 0.500
Te2 0.250 0.250 0.500


Entry 2:
The following is a DFT calculation (PBE) of a geometry-optimized Tb12Ni6Te structure.

Properties
calculated total energy: -101.3 eV/f.u.
space group: Im-3, No. 204
total magnetization: 0.00 μB/cell
calculated volume: 470.6 Å³/f.u.
energy relative to the elements, uncorrected: -40 kJ/mol of atoms

Unit cell a=8.487 b=8.487 c=8.487 alpha=109.47 beta=109.47 gamma=109.47
Atoms (fractional coordinates):
Tb1 0.880 0.188 0.691
Tb2 0.503 0.812 0.691
Tb3 0.120 0.812 0.309
Tb4 0.691 0.880 0.188
Tb5 0.812 0.691 0.503
Tb6 0.309 0.120 0.812
Tb7 0.691 0.503 0.812
Tb8 0.309 0.497 0.188
Tb9 0.497 0.188 0.309
Tb10 0.812 0.309 0.120
Tb11 0.188 0.309 0.497
Tb12 0.188 0.691 0.880
Ni1 0.376 0.500 0.876
Ni2 0.624 0.500 0.124
Ni3 0.876 0.376 0.500
Ni4 0.500 0.876 0.376
Ni5 0.124 0.624 0.500
Ni6 0.500 0.124 0.624
Te1 0.000 0.000 0.000


Entry 3:
The following is a DFT calculation (PBE) of a geometry-optimized TbNiTe structure.

Properties
calculated total energy: -16.1 eV/f.u.
space group: P3m1, No. 156
total magnetization: 0.00 μB/cell
calculated volume: 63.8 Å³/f.u.
energy relative to the elements, uncorrected: -83 kJ/mol of atoms

Unit cell a=4.065 b=4.258 c=4.258 alpha=120.00 beta=90.00 gamma=90.00
Atoms (fractional coordinates):
Te1 0.156 0.000 0.000
Ni1 0.185 0.667 0.333
Tb1 0.659 0.333 0.667


Entry 4:
The following is a DFT calculation (PBE) of a geometry-optimized TbNiTe structure.

Properties
calculated total energy: -16.0 eV/f.u.
space group: Pnma, No. 62
total magnetization: 0.00 μB/cell
calculated volume: 68.3 Å³/f.u.
energy relative to the elements, uncorrected: -78 kJ/mol of atoms

Unit cell a=4.207 b=6.387 c=10.166 alpha=90.00 beta=90.00 gamma=90.00
Atoms (fractional coordinates):
Ni1 0.250 0.428 0.333
Ni2 0.750 0.572 0.667
Ni3 0.250 0.072 0.833
Ni4 0.750 0.928 0.167
Tb1 0.750 0.699 0.407
Tb2 0.750 0.801 0.907
Tb3 0.250 0.199 0.093
Tb4 0.250 0.301 0.593
Te1 0.250 0.701 0.150
Te2 0.750 0.299 0.850
Te3 0.750 0.201 0.350
Te4 0.250 0.799 0.650


Entry 5:
The following is a DFT calculation (PBE) of a geometry-optimized Tb8Ni2Te structure.

Properties
calculated total energy: -54.6 eV/f.u.
space group: C2/m, No. 12
total magnetization: 0.01 μB/cell
calculated volume: 301.9 Å³/f.u.
energy relative to the elements, uncorrected: -25 kJ/mol of atoms

Unit cell a=5.640 b=7.762 c=7.762 alpha=114.34 beta=96.91 gamma=96.91
Atoms (fractional coordinates):
Tb1 0.701 0.393 0.393
Tb2 0.500 0.752 0.248
Tb3 0.097 0.078 0.337
Tb4 0.903 0.663 0.922
Tb5 0.500 0.248 0.752
Tb6 0.299 0.607 0.607
Tb7 0.097 0.337 0.078
Tb8 0.903 0.922 0.663
Ni1 0.000 0.302 0.698
Ni2 0.000 0.698 0.302
Te1 0.500 0.000 0.000


Entry 6:
The following is a DFT calculation (PBE) of a geometry-optimized Tb2NiTe structure.

Properties
calculated total energy: -21.4 eV/f.u.
space group: R3m, No. 160
total magnetization: 0.00 μB/cell
calculated volume: 104.8 Å³/f.u.
energy relative to the elements, uncorrected: -79 kJ/mol of atoms

Unit cell a=4.105 b=4.105 c=7.563 alpha=74.25 beta=74.25 gamma=60.00
Atoms (fractional coordinates):
Ni1 0.665 0.665 0.004
Tb1 0.068 0.068 0.796
Tb2 0.266 0.266 0.202
Te1 0.500 0.500 0.499


- Among the records above, which one has the lowest calculated volume?
  number 3


- Which value of calculated total energy does entry 2 give?
  -101.3 eV/f.u.